Entry 1:
NaPuMnO6, optimized geometry, DFT GGA+U; SG = P312, No. 149
1.0
4.5886 0.0000 0.0000
0.0000 5.1858 0.0000
0.0000 -2.5929 4.4910
O Mn Na Pu
6 1 1 1
Cartesian
1.1623 0.6693 1.4637
3.4263 -0.6693 1.4637
1.1623 -1.6600 3.1796
1.1623 0.9907 4.3388
3.4263 -0.9907 4.3388
3.4263 1.6600 3.1796
2.2943 0.0000 0.0000
2.2943 2.5929 1.4970
0.0000 0.0000 2.9940

Entry 2:
NaPuMnO4, optimized geometry, DFT GGA+U; SG = Imma, No. 74
1.0
-0.2879 -6.0887 -1.4503
2.0030 1.7352 5.8521
-6.5963 0.8273 -2.1636
O Mn Na Pu
8 2 2 2
Cartesian
-3.1022 -1.9864 3.0509
-1.2111 -3.4366 1.1334
-1.0990 -0.4121 1.9481
-1.9046 -4.1959 -1.4454
-2.9766 0.6697 3.6836
-3.6701 -0.0896 1.1048
-1.7790 -1.5399 -0.8127
-3.7822 -3.1142 0.2901
-2.2967 1.2812 1.8443
-2.4406 -1.7631 1.1191
-5.3330 0.3804 -0.5383
0.4518 -3.9066 2.7764
-0.1439 -3.0444 -0.7252
-3.4421 -2.6307 -1.8070

Entry 3:
Na3Mn3ReO8, optimized geometry, DFT GGA+U; SG = C2/m, No. 12
1.0
6.0066 0.0000 0.0000
-3.0033 5.2210 -0.0154
0.0000 -3.4576 5.5071
Re O Na Mn
1 8 3 3
Cartesian
0.0000 -1.7288 2.7535
3.0033 0.0137 3.8119
1.5111 2.6305 3.8110
1.4922 -0.8672 1.6807
-1.5111 2.6305 3.8110
0.0000 0.0203 3.7997
0.0000 1.7496 1.6798
4.5144 -0.8672 1.6807
3.0033 1.7431 1.6920
1.5016 2.6105 -0.0077
0.0000 0.0000 0.0000
-1.5016 2.6105 -0.0077
1.5016 0.8817 2.7458
3.0033 -1.7288 2.7535
-1.5016 0.8817 2.7458

Entry 4:
Na2MnRh2O6, optimized geometry, DFT GGA+U; SG = C2/m, No. 12
1.0
-4.8473 -1.7653 -1.2726
1.8197 -0.5190 4.9650
-1.0596 5.6272 0.0083
O Na Rh Mn
6 2 2 1
Cartesian
-0.3198 3.5732 1.8708
-2.5168 3.1625 -0.1847
-2.9994 2.1813 2.7701
-1.5704 0.1805 3.8854
-3.7674 -0.2302 1.8298
-1.0878 1.1617 0.9306
0.6900 -0.7302 3.9080
-3.7175 -1.5541 -0.2156
-0.9398 1.8778 2.8830
-3.1474 1.4651 0.8176
-0.5298 2.8136 0.0041

Entry 5:
Na3MnRh3O8, optimized geometry, DFT GGA+U; SG = R-3m, No. 166
1.0
6.1629 -0.0001 0.0000
-3.0815 5.3371 -0.0189
0.0000 -3.5397 5.4074
O Na Rh Mn
8 3 3 1
Cartesian
1.6141 2.7237 3.7157
3.0815 0.0130 3.7676
1.4673 -0.9264 1.6729
-1.6142 2.7237 3.7157
3.0814 1.8692 1.6631
0.0000 1.7843 1.6209
4.6957 -0.9265 1.6729
0.0000 -0.0719 3.7255
-1.5408 2.6685 -0.0095
0.0000 0.0000 0.0000
1.5407 2.6685 -0.0095
3.0815 -1.7699 2.7037
1.5407 0.8986 2.6943
-1.5407 0.8987 2.6943
0.0000 -1.7699 2.7037

Entry 6:
NaMnS2O, optimized geometry, DFT GGA+U; SG = P4/mmm, No. 123
1.0
-2.9510 -1.4084 -3.1637
2.9866 -0.3360 -2.6362
0.6628 -4.3094 1.3002
O Mn Na S
1 1 1 2
Cartesian
0.0000 0.0000 0.0000
0.3492 -3.0269 -2.2498
1.4933 -0.1680 -1.3181
0.3314 -2.1547 0.6501
-1.4755 -0.7042 -1.5818

Entry 7:
NaMnSO4, optimized geometry, DFT GGA+U; SG = I-4, No. 82
1.0
-1.8802 -4.9746 1.5086
0.8382 -1.8734 -5.1328
4.2603 2.3182 2.8263
Mn O S Na
1 4 1 1
Cartesian
0.0000 0.0000 0.0000
2.6768 0.6298 2.2368
2.6586 -2.2075 -0.7896
1.3230 -2.3388 -2.8405
-0.2218 -5.1429 -0.2024
2.2888 -1.4896 -2.0593
-0.5210 -3.4240 -1.8121

Entry 8:
Na3MnS2O8, optimized geometry, DFT GGA+U; SG = P-3m1, No. 164
1.0
-1.3954 2.4755 4.5993
-0.5166 -5.3630 -0.4477
7.0463 -0.8976 2.6210
O Mn S Na
8 1 2 3
Cartesian
0.5975 -3.0555 3.2690
4.5367 -0.7295 3.5035
3.9029 0.3948 5.5923
3.6683 -2.0409 5.3890
-0.7497 -2.7578 1.2569
1.4659 -1.7442 1.3835
1.2313 -4.1798 1.1802
5.8839 -1.0273 5.5157
3.5231 -0.4488 1.3105
0.6178 -2.9320 1.7655
4.5164 -0.8531 5.0070
0.0000 0.0000 0.0000
0.9157 -0.3944 3.6677
4.2185 -3.3906 3.1049

Entry 9:
NaMn2S2O8, optimized geometry, DFT GGA+U; SG = P-1, No. 2
1.0
6.3294 -0.0756 -0.0661
-3.0404 6.9729 1.1776
-3.0980 -1.4666 8.3249
O Na Mn S
16 2 4 4
Cartesian
3.2315 -0.6319 7.3301
-1.8495 0.6718 5.6388
2.0406 4.7590 3.7976
3.1951 -0.0059 2.9127
-3.0040 5.4366 6.5238
2.0104 1.0791 1.1083
0.0510 2.7784 1.7439
-4.1775 4.3816 8.3526
-1.7896 4.8042 3.8400
0.1401 2.6524 7.6925
-3.0404 6.0627 2.1064
4.3686 1.0491 1.0839
0.1533 5.1702 6.0200
0.0377 0.2606 3.4165
1.9807 0.6265 5.5965
-1.8193 4.3516 8.3281
0.1115 5.0651 2.1960
0.0796 0.3657 7.2405
0.1604 4.3391 7.7729
0.0307 1.0917 1.6636
-1.5490 -0.7333 4.1625
1.6157 -0.7711 4.1294
-3.0899 0.7357 6.5570
3.2029 1.3165 2.0555
-3.0118 4.1143 7.3810
3.2810 4.6950 2.8795

Entry 10:
NaMnS2O8, optimized geometry, DFT GGA+U; SG = R-3, No. 148
1.0
4.7506 0.0000 0.0000
2.3753 4.1141 0.0000
2.3753 1.3714 7.7223
O Mn S Na
8 1 2 1
Cartesian
5.7185 4.2312 6.5332
6.5236 2.6487 1.1891
2.3753 1.3714 3.1528
2.9775 2.8367 6.5332
3.7826 1.2542 1.1891
5.5557 1.1602 6.5332
7.1258 4.1141 4.5694
3.9454 4.3252 1.1891
0.0000 0.0000 0.0000
2.3753 1.3714 1.6921
7.1258 4.1141 6.0302
4.7506 2.7427 3.8611

Entry 11:
Na2MnSO6, optimized geometry, DFT GGA+U; SG = P-3m1, No. 164
1.0
-0.7033 -4.1359 2.4735
2.5562 -2.8272 -4.0005
2.9076 2.0376 4.2338
S O Na Mn
1 6 2 1
Cartesian
0.0000 0.0000 0.0000
4.1399 -1.8348 0.1260
3.7819 -3.5475 2.7157
2.3029 -1.9118 5.0303
0.9787 -1.3780 -0.0089
0.6206 -3.0907 2.5807
2.4577 -3.0137 -2.3235
2.7088 -0.0647 1.7766
2.0518 -4.8608 0.9302
-0.3516 -2.0680 1.2367

Entry 12:
Na2MnSO4, optimized geometry, DFT GGA+U; SG = I-4, No. 82
1.0
5.1091 0.0852 0.1305
-2.0999 4.6584 -0.1305
-2.0999 -1.9942 4.2120
Na O S Mn
2 4 1 1
Cartesian
0.4547 3.0379 1.0204
0.0000 0.0000 0.0000
1.5065 0.6797 1.6230
2.9822 2.5928 0.8596
-1.0249 2.3411 3.0048
-1.6451 -0.1148 2.9366
-2.0999 1.3321 2.0408
0.4547 -0.2884 3.1916

Computed values of energy (unit: eV per atom) for the preceding records, in sequence: -7.607, -8.155, -6.569, -6.181, -6.065, -4.494, -5.954, -5.729, -6.241, -6.072, -5.639, -5.334.
Computed values of spin magnetization (unit: μB per cell) for the preceding records, in sequence: 4.00, 12.00, 9.00, 2.95, 2.92, 4.98, 5.78, 5.43, 13.99, 2.00, 2.99, 6.83.